The following is a PBE-GGA calculation of an optimized crystal structure of BaPPb, from Alexandria via LeMat-Bulk.

Properties
The final energy comes out at -10.57 eV for the cell shown. The value obtained for the formation energy from the elements is 0.157 eV/atom.

a = 5.3812 Å, b = 5.3812 Å, c = 5.3812 Å
α = 60.00°, β = 60.00°, γ = 60.00°
Atoms (fractional coordinates):
Ba  0.7500  0.7500  0.7500
P  0.0000  0.0000  0.0000
Pb  0.5000  0.5000  0.5000

=====

The following is a PBE-GGA calculation of an optimized crystal structure of ScPd2Au3, from Alexandria via LeMat-Bulk.

Properties
The final energy comes out at -58.96 eV for the cell shown. The value obtained for the formation energy from the elements is -0.489 eV/atom.

a = 5.0476 Å, b = 5.0476 Å, c = 9.1613 Å
α = 100.38°, β = 100.38°, γ = 110.23°
Atoms (fractional coordinates):
Sc  0.1256  0.8744  0.2500
Sc  0.8744  0.1256  0.7500
Pd  0.0442  0.2940  0.0888
Pd  0.7060  0.9558  0.4112
Pd  0.9558  0.7060  0.9112
Pd  0.2940  0.0442  0.5888
Au  0.2100  0.4593  0.4204
Au  0.5407  0.7900  0.0796
Au  0.7900  0.5407  0.5796
Au  0.4593  0.2100  0.9204
Au  0.6249  0.3751  0.2500
Au  0.3751  0.6249  0.7500